1.
DFT (PBE) results for an optimized crystal structure of DyHo2Al2Ga2.

abc: 4.2621 4.2621 31.6435
angles: 90.00 90.00 120.00
Space group R-3m (No. 166, hexagonal axes)
Symmetry-distinct sites (fractional):
1 Dy 0.0000 0.0000 0.0000 (multiplicity 3)
2 Ho 0.0000 0.0000 0.1258 (multiplicity 6)
3 Al 0.0000 0.0000 0.3928 (multiplicity 6)
4 Ga 0.0000 0.0000 0.2610 (multiplicity 6)

Calculated values
DOS at the Fermi energy: 0.7620 states/eV/atom
electronic total energy: -4.28 eV/atom
M_tot: 0.0 μB per cell

2.
DFT (PBE) results for an optimized crystal structure of DyHoAlGa.

abc: 7.163 7.163 7.163
angles: 90.00 90.00 90.00
Space group F-43m (No. 216)
Symmetry-distinct sites (fractional):
1 Dy 0.000 0.000 0.000 (multiplicity 4)
2 Ho 0.000 0.000 0.500 (multiplicity 4)
3 Al 0.250 0.250 0.250 (multiplicity 4)
4 Ga 0.250 0.250 0.750 (multiplicity 4)

Calculated values
polymorph energy (0 for the lowest one): 30 meV/atom
DOS at the Fermi energy: 0.3545 states/eV/atom
electronic total energy: -4.47 eV/atom
M_tot: 0.0 μB per cell

3.
DFT (PBE) results for an optimized crystal structure of DyHoAlGa.

abc: 4.055 4.398 10.985
angles: 90.00 90.00 90.00
Space group Amm2 (No. 38)
Symmetry-distinct sites (fractional):
1 Dy 0.000 0.000 0.000 (multiplicity 2)
2 Ho 0.500 0.000 0.719 (multiplicity 2)
3 Al 0.000 0.000 0.288 (multiplicity 2)
4 Ga 0.500 0.000 0.438 (multiplicity 2)

Calculated values
polymorph energy (0 for the lowest one): 0 meV/atom
DOS at the Fermi energy: 0.8145 states/eV/atom
electronic total energy: -4.50 eV/atom
M_tot: 0.0 μB per cell

Which of these has the highest DOS at the Fermi energy? number 3